[1]
{
  "formula": "CsFeMo2Pd",
  "functional": "PBE",
  "state": "optimized geometry",
  "ef_ev_per_atom": 1.8562,
  "total_energy_ev_per_atom": -5.3780,
  "lattice_angstrom": [[-4.4794, -0.0782, -2.2821], [1.4297, -3.9979, -2.6693], [-1.7776, -3.0347, 3.5930]],
  "species": ["Mo", "Mo", "Pd", "Cs", "Fe"],
  "frac_coords": [[0.5000, 0.0000, 0.0000], [0.0000, 0.0000, 0.5000], [0.0000, 0.0000, 0.0000], [0.5000, 0.5000, 0.5000], [0.0000, 0.5000, 0.0000]]
}


[2]
{
  "formula": "CsFe2MoW",
  "functional": "PBE",
  "state": "optimized geometry",
  "ef_ev_per_atom": 3.3176,
  "total_energy_ev_per_atom": -4.9950,
  "lattice_angstrom": [[4.5531, 0.0000, 0.0000], [0.0000, 5.1119, 0.0000], [0.0000, 0.0000, 4.5531]],
  "species": ["Mo", "W", "Cs", "Fe", "Fe"],
  "frac_coords": [[0.5000, 0.5000, 0.5000], [0.0000, 0.5000, 0.0000], [0.0000, 0.0000, 0.0000], [0.5000, 0.0000, 0.0000], [0.0000, 0.0000, 0.5000]]
}


[3]
{
  "formula": "CsFe3N",
  "functional": "PBE",
  "state": "optimized geometry",
  "formation_energy_uncorrected_mev_per_atom": 1057.1,
  "de_polymorph_mev_per_atom": 0,
  "total_energy_ev_per_atom": -5.8563,
  "lattice_angstrom": [[-1.4715, -0.7503, 3.8663], [-1.8802, -3.4928, -1.3935], [3.4606, -2.2168, 0.8869]],
  "species": ["Cs", "Fe", "Fe", "Fe", "N"],
  "frac_coords": [[0.5000, 0.5000, 0.5000], [0.0000, 0.0000, 0.5000], [0.5000, 0.0000, 0.0000], [0.0000, 0.5000, 0.0000], [0.0000, 0.0000, 0.0000]]
}


[4]
{
  "formula": "CsFeN2",
  "functional": "PBE",
  "state": "optimized geometry",
  "formation_energy_uncorrected_mev_per_atom": 2289.3,
  "de_polymorph_mev_per_atom": 2286,
  "total_energy_ev_per_atom": -4.2024,
  "lattice_angstrom": [[0.3297, -4.3308, -0.9565], [0.7459, -2.9443, 3.2487], [-3.2211, -2.8034, 1.2431]],
  "species": ["Cs", "Fe", "N", "N"],
  "frac_coords": [[0.5000, 0.5000, 0.5000], [0.0000, 0.0000, 0.0000], [0.2500, 0.2500, 0.2500], [0.7500, 0.7500, 0.7500]]
}


[5]
{
  "formula": "CsFeN2",
  "functional": "PBE",
  "state": "optimized geometry",
  "formation_energy_uncorrected_mev_per_atom": 3.6,
  "de_polymorph_mev_per_atom": 0,
  "total_energy_ev_per_atom": -6.4881,
  "lattice_angstrom": [[5.7389, 0.0000, 0.0000], [0.0000, 5.7389, 0.0000], [2.8694, 2.8694, 4.0639]],
  "species": ["Fe", "Fe", "N", "N", "N", "N", "Cs", "Cs"],
  "frac_coords": [[0.2500, 0.7500, 0.5000], [0.5000, 0.5000, 0.0000], [0.3750, 0.6250, 0.7500], [0.3750, 0.6250, 0.2500], [0.8750, 0.6250, 0.7500], [0.3750, 0.1250, 0.2500], [0.7500, 0.2500, 0.5000], [0.0000, 0.0000, 0.0000]]
}


[6]
{
  "formula": "CsFeN",
  "functional": "PBE",
  "state": "optimized geometry",
  "formation_energy_uncorrected_mev_per_atom": 7.3,
  "total_energy_ev_per_atom": -5.8732,
  "lattice_angstrom": [[11.0539, 0.0000, 0.0000], [0.0000, 3.5631, 0.0000], [0.0000, 0.0000, 7.0049]],
  "species": ["Fe", "Fe", "Fe", "Fe", "Cs", "Cs", "Cs", "Cs", "N", "N", "N", "N"],
  "frac_coords": [[0.5324, 0.2500, 0.5949], [0.4676, 0.7500, 0.4051], [0.0324, 0.2500, 0.9051], [0.9676, 0.7500, 0.0949], [0.8292, 0.7500, 0.5644], [0.3292, 0.7500, 0.9356], [0.6708, 0.2500, 0.0644], [0.1708, 0.2500, 0.4356], [0.5469, 0.7500, 0.6380], [0.4531, 0.2500, 0.3620], [0.9531, 0.2500, 0.1380], [0.0469, 0.7500, 0.8620]]
}